Ho7Mg2Ir2: relaxed, PBE.

a b c (Å): 6.8095 6.8095 7.1591
angles (deg): 90.00 90.00 105.70
Last column: nearest neighbours and their distance in Å.
Element x y z (fractional)
Ho 0.0000 0.0000 0.0000  2 Ir 3.09
Ho 0.0000 0.5000 0.2450  2 Ir 2.73
Ho 0.0000 0.5000 0.7550  2 Ir 2.73
Ho 0.5000 0.0000 0.2450  2 Ir 2.73
Ho 0.5000 0.0000 0.7550  2 Ir 2.73
Ho 0.5000 0.5000 0.2389  2 Ir 2.90
Ho 0.5000 0.5000 0.7611  2 Ir 2.90
Mg 0.1734 0.1734 0.5000  1 Mg 2.85
Mg 0.8266 0.8266 0.5000  1 Mg 2.85
Ir 0.2843 0.7157 0.0000  6 Ho 2.73-2.90
Ir 0.7157 0.2843 0.0000  6 Ho 2.73-2.90

- DFT total energy: -5.108 eV per atom
- Crystal system: orthorhombic